Entry from the Alexandria database: a relaxed structure of Mn7Cu (GGA-PBE).

For the energy of formation from the pure elements, the calculation gives 19.0 kJ per mole of atoms. For the total energy, the calculation gives -8.338 eV/atom. As for the mass density: 8.46 g/cm³.

Unit cell a=7.0597 b=7.0597 c=7.0597 alpha=90.00 beta=90.00 gamma=90.00
Last column: nearest neighbours and their distance in Å.
Space group Fm-3m (No. 225)
Inequivalent atoms, fractional coordinates:
Mn: 0.0000 0.0000 0.0000 (multiplicity 4)  12 Mn 2.50
Mn: 0.0000 0.2500 0.2500 (multiplicity 24)  10 Mn 2.50, 2 Cu 2.50
Cu: 0.0000 0.0000 0.5000 (multiplicity 4)  12 Mn 2.50